Material: NbFeSbO6
Method: DFT, GGA+U
State: relaxed

Unit cell a=5.2857 b=5.2857 c=9.0206 alpha=90.00 beta=90.00 gamma=120.00
Space group P-31c (No. 163)
Unique sites:
Nb (0.3333, 0.6667, 0.2500)
Fe (0.0000, 0.0000, 0.0000)
Sb (0.3333, 0.6667, 0.7500)
O (0.9999, 0.3458, 0.1312)

Volume   12.1 A^3/atom
Size of the total moment   8.01 μB per cell
Final energy   -64.8 eV per formula unit